A geometry-optimized CaY2Mo structure. Source: Alexandria via LeMat-Bulk, functional PBEsol.

a = 3.214 Å, b = 3.214 Å, c = 10.596 Å
α = 90.00°, β = 90.00°, γ = 107.29°
Sites, in units of the cell vectors:
1 Ca 0.000 0.000 0.000
2 Y 0.000 0.000 0.413
3 Y 0.500 0.500 0.702
4 Mo 0.500 0.500 0.220

Output
Energy of formation (eV/f.u.): 2.1



A geometry-optimized SbTePb4 structure. Source: Alexandria via LeMat-Bulk, functional PBEsol.

a = 6.374 Å, b = 6.374 Å, c = 6.374 Å
α = 60.00°, β = 60.00°, γ = 60.00°
Sites, in units of the cell vectors:
1 Sb 0.000 0.000 0.000
2 Te 0.750 0.750 0.750
3 Pb 0.375 0.375 0.375
4 Pb 0.375 0.375 0.876
5 Pb 0.375 0.876 0.375
6 Pb 0.876 0.375 0.375

Output
Energy relative to the elements, uncorrected (eV per atom): 0.24



A geometry-optimized KZn2BCl2O3 structure. Source: Alexandria via LeMat-Bulk, functional PBEsol.

a = 9.110 Å, b = 9.110 Å, c = 9.110 Å
α = 31.61°, β = 31.61°, γ = 31.61°
Sites, in units of the cell vectors:
1 K 0.000 0.000 0.000
2 Zn 0.195 0.195 0.195
3 Zn 0.805 0.805 0.805
4 B 0.500 0.500 0.500
5 Cl 0.281 0.281 0.281
6 Cl 0.719 0.719 0.719
7 O 0.222 0.500 0.778
8 O 0.500 0.778 0.222
9 O 0.778 0.222 0.500

Output
Energy relative to the elements, uncorrected (eV per atom): -1.82



A geometry-optimized RuPt2Rh structure. Source: Alexandria via LeMat-Bulk, functional PBEsol.

a = 4.710 Å, b = 4.710 Å, c = 4.710 Å
α = 132.05°, β = 132.05°, γ = 70.15°
Sites, in units of the cell vectors:
1 Ru 0.000 0.000 0.000
2 Pt 0.250 0.750 0.500
3 Pt 0.750 0.250 0.500
4 Rh 0.500 0.500 0.000

Output
Energy of formation (eV/f.u.): 0.1



A geometry-optimized KBaAu2 structure. Source: Alexandria via LeMat-Bulk, functional PBEsol.

a = 8.184 Å, b = 8.184 Å, c = 8.184 Å
α = 32.56°, β = 32.56°, γ = 32.56°
Sites, in units of the cell vectors:
1 K 0.000 0.000 0.000
2 Ba 0.500 0.500 0.500
3 Au 0.246 0.246 0.246
4 Au 0.754 0.754 0.754

Output
Energy of formation (eV/f.u.): -1.2



A geometry-optimized CaMgMn3 structure. Source: Alexandria via LeMat-Bulk, functional PBEsol.

a = 4.814 Å, b = 4.814 Å, c = 4.814 Å
α = 90.00°, β = 90.00°, γ = 90.00°
Sites, in units of the cell vectors:
1 Ca 0.000 0.000 0.000
2 Mg 0.500 0.500 0.500
3 Mn 0.000 0.500 0.500
4 Mn 0.500 0.000 0.500
5 Mn 0.500 0.500 0.000

Output
Energy of formation (eV/f.u.): 6.3



Which formula does entry 1 have? CaY2Mo



Which formula does entry 4 have? RuPt2Rh